(1)
## Na2BeTl (GGA-PBE)

Data for a relaxed structure of Na2BeTl.

Results
- E_tot: -29.07 eV per cell
- Calculated volume: 127.3 Å³/f.u.
- ΔE_f: 366 meV/atom
- Excess energy over the best structure of this formula in the dataset: 0 meV/atom
- N(E_F): 1.567 states/eV/f.u.

Geometry as extended XYZ:
```
16
Lattice="10.5071 0.0000 0.0000 0.0000 10.5071 0.0000 0.0000 0.0000 4.6117" Properties=species:S:1:pos:R:3 pbc="T T T"
Na 1.0202 2.6268 0.5765
Na 2.6268 6.2737 1.7294
Na 2.6268 9.4869 4.0353
Na 4.2334 2.6268 2.8823
Na 6.2737 7.8803 2.8823
Na 7.8803 1.0202 4.0353
Na 7.8803 4.2334 1.7294
Na 9.4869 7.8803 0.5765
Be 0.0000 0.0000 0.0000
Be 0.0000 5.2535 1.1529
Be 5.2535 0.0000 3.4588
Be 5.2535 5.2535 2.3059
Tl 0.0000 0.0000 2.3059
Tl 0.0000 5.2535 3.4588
Tl 5.2535 0.0000 1.1529
Tl 5.2535 5.2535 0.0000
```

---

(2)
## YScMn2 (GGA-PBE)

Data for a relaxed structure of YScMn2.

Results
- E_tot: -61.02 eV per cell
- Calculated volume: 82.9 Å³/f.u.
- ΔE_f: 156 meV/atom
- N(E_F): 4.200 states/eV/f.u.

Geometry as extended XYZ:
```
8
Lattice="4.5938 0.0000 0.0000 0.0000 3.3247 0.0000 0.0000 0.0000 10.8500" Properties=species:S:1:pos:R:3 pbc="T T T"
Y 0.0000 0.0000 0.0000
Y 0.0000 1.6623 5.4250
Sc 2.2969 0.0000 3.3037
Sc 2.2969 1.6623 8.7287
Mn 0.0000 0.0000 7.8628
Mn 0.0000 1.6623 2.4378
Mn 2.2969 0.0000 6.4531
Mn 2.2969 1.6623 1.0281
```

---

(3)
## TlPOs2 (GGA-PBE)

Data for a relaxed structure of TlPOs2.

Results
- E_tot: -57.17 eV per cell
- Calculated volume: 74.1 Å³/f.u.
- ΔE_f: 412 meV/atom
- Excess energy over the best structure of this formula in the dataset: 19 meV/atom
- N(E_F): 2.889 states/eV/f.u.

Geometry as extended XYZ:
```
8
Lattice="8.1752 0.0000 0.0000 0.0000 2.9678 0.0000 -0.9421 0.0000 6.1045" Properties=species:S:1:pos:R:3 pbc="T T T"
Tl 0.0000 0.0000 0.0000
Tl 4.0876 1.4839 0.0000
P 2.0837 1.4839 2.6933
P 6.1713 0.0000 2.6933
Os -0.2301 1.4839 2.5739
Os 1.2567 0.0000 4.2841
Os 3.8575 0.0000 2.5739
Os 5.3443 1.4839 4.2841
```

---

(4)
## CsTlF4 (GGA-PBE)

Data for a relaxed structure of CsTlF4.

Results
- E_tot: -96.30 eV per cell
- ΔE_f (raw): -2.23 eV/atom
- Calculated volume: 124.8 Å³/f.u.
- Excess energy over the best structure of this formula in the dataset: 0 meV/atom
- N(E_F): 0.000 states/eV/f.u.

Geometry as extended XYZ:
```
24
Lattice="6.6834 0.0000 0.0000 0.0000 8.6072 0.0000 0.0000 0.0000 8.6786" Properties=species:S:1:pos:R:3 pbc="T T T"
Cs 0.0788 1.6957 2.1697
Cs 0.0788 2.6079 6.5090
Cs 6.6046 5.9993 2.1697
Cs 6.6046 6.9114 6.5090
Tl 3.3417 0.0000 0.0000
Tl 3.3417 0.0000 4.3393
Tl 3.3417 4.3036 0.0000
Tl 3.3417 4.3036 4.3393
F 1.3843 4.8691 4.8306
F 1.3843 4.8691 8.1873
F 1.3843 8.0416 0.4913
F 1.3843 8.0416 3.8480
F 2.5589 2.1518 0.0000
F 2.5589 2.1518 4.3393
F 2.6880 4.4777 2.1697
F 2.6880 8.4331 6.5090
F 3.9954 0.1741 2.1697
F 3.9954 4.1295 6.5090
F 4.1244 6.4554 0.0000
F 4.1244 6.4554 4.3393
F 5.2990 0.5655 4.8306
F 5.2990 0.5655 8.1873
F 5.2990 3.7380 0.4913
F 5.2990 3.7380 3.8480
```

---

(5)
## TmMgPtRh (GGA-PBE)

Data for a relaxed structure of TmMgPtRh.

Results
- E_tot: -92.65 eV per cell
- Calculated volume: 71.2 Å³/f.u.
- ΔE_f: -926 meV/atom
- N(E_F): 3.042 states/eV/f.u.

Geometry as extended XYZ:
```
16
Lattice="6.5799 0.0000 0.0000 0.0000 6.5799 0.0000 0.0000 0.0000 6.5799" Properties=species:S:1:pos:R:3 pbc="T T T"
Tm 0.0000 0.0000 0.0000
Tm 0.0000 3.2900 3.2900
Tm 3.2900 0.0000 3.2900
Tm 3.2900 3.2900 0.0000
Mg 0.0000 0.0000 3.2900
Mg 0.0000 3.2900 0.0000
Mg 3.2900 0.0000 0.0000
Mg 3.2900 3.2900 3.2900
Pt 1.6450 1.6450 1.6450
Pt 1.6450 4.9350 4.9350
Pt 4.9350 1.6450 4.9350
Pt 4.9350 4.9350 1.6450
Rh 1.6450 1.6450 4.9350
Rh 1.6450 4.9350 1.6450
Rh 4.9350 1.6450 1.6450
Rh 4.9350 4.9350 4.9350
```

---

(6)
## Dy2Rh3Pb2 (GGA-PBE)

Data for a relaxed structure of Dy2Rh3Pb2.

Results
- E_tot: -84.54 eV per cell
- Calculated volume: 156.5 Å³/f.u.
- ΔE_f: -513 meV/atom
- N(E_F): 4.579 states/eV/f.u.

Geometry as extended XYZ:
```
14
Lattice="-4.2771 4.2771 4.2771 4.2771 -4.2771 4.2771 4.2771 4.2771 -4.2771" Properties=species:S:1:pos:R:3 pbc="T T T"
Dy 2.3085 1.9685 -1.9685
Dy 1.9685 -1.9685 2.3085
Dy 1.9685 1.9685 1.9685
Dy -1.9685 2.3085 1.9685
Rh 2.1385 0.0325 0.0000
Rh 4.2771 2.1385 -0.0325
Rh 0.0325 0.0000 2.1385
Rh 0.0000 2.1385 0.0325
Rh 2.1385 -0.0325 4.2771
Rh -0.0325 4.2771 2.1385
Pb 4.7912 -0.5142 0.5142
Pb 0.5142 4.7912 -0.5142
Pb -0.5142 0.5142 4.7912
Pb 3.7629 3.7629 3.7629
```

---

(7)
## KIn2Ni2 (GGA-PBE)

Data for a relaxed structure of KIn2Ni2.

Results
- E_tot: -35.85 eV per cell
- Calculated volume: 115.9 Å³/f.u.
- ΔE_f: 43 meV/atom
- Excess energy over the best structure of this formula in the dataset: 0 meV/atom
- N(E_F): 2.012 states/eV/f.u.

Geometry as extended XYZ:
```
10
Lattice="3.5566 0.0000 0.0000 0.0000 3.5566 0.0000 0.0000 0.0000 18.3320" Properties=species:S:1:pos:R:3 pbc="T T T"
K 0.0000 0.0000 0.0000
K 1.7783 1.7783 9.1660
In 0.0000 0.0000 6.5192
In 0.0000 0.0000 11.8128
In 1.7783 1.7783 2.6468
In 1.7783 1.7783 15.6852
Ni 0.0000 1.7783 4.5830
Ni 0.0000 1.7783 13.7490
Ni 1.7783 0.0000 4.5830
Ni 1.7783 0.0000 13.7490
```

---

(8)
## SrCa3Rh (GGA-PBE)

Data for a relaxed structure of SrCa3Rh.

Results
- E_tot: -64.17 eV per cell
- Calculated volume: 173.5 Å³/f.u.
- ΔE_f: -201 meV/atom
- Excess energy over the best structure of this formula in the dataset: 27 meV/atom
- N(E_F): 3.031 states/eV/f.u.

Geometry as extended XYZ:
```
20
Lattice="9.0220 0.0000 0.0000 0.0000 7.5043 0.0000 -5.8435 0.0000 10.2523" Properties=species:S:1:pos:R:3 pbc="T T T"
Sr -0.0739 0.2599 3.3027
Sr -2.9957 3.4922 8.4289
Sr 6.1742 4.0121 1.8234
Sr 3.2524 7.2444 6.9496
Ca 0.7440 5.4957 0.4193
Ca -2.1778 5.7608 5.5455
Ca 0.3495 3.7820 4.0232
Ca -2.5723 7.4745 9.1494
Ca -0.0086 1.2699 6.9024
Ca 2.9131 2.4823 1.7762
Ca 0.2653 5.0221 8.4761
Ca 3.1871 6.2344 3.3500
Ca 5.7508 0.0298 1.1029
Ca 2.8290 3.7223 6.2291
Ca 5.3563 1.7436 4.7068
Ca 2.4345 2.0086 9.8330
Rh 3.7303 5.2231 0.5408
Rh 0.8086 6.0333 5.6670
Rh 2.3699 1.4710 4.5854
Rh -0.5518 2.2812 9.7115
```

---

(9)
## GaC2Cl (GGA-PBE)

Data for a relaxed structure of GaC2Cl.

Results
- E_tot: -61.92 eV per cell
- ΔE_f (raw): 1.96 eV/atom
- Calculated volume: 60.5 Å³/f.u.
- Excess energy over the best structure of this formula in the dataset: 0 meV/atom
- N(E_F): 1.840 states/eV/f.u.

Geometry as extended XYZ:
```
16
Lattice="4.8769 0.0000 0.0000 0.0000 4.8769 0.0000 0.0000 0.0000 10.1714" Properties=species:S:1:pos:R:3 pbc="T T T"
Ga 0.0000 0.0000 0.0000
Ga 0.0000 2.4384 2.5428
Ga 2.4384 0.0000 7.6285
Ga 2.4384 2.4384 5.0857
C 0.9658 1.2192 1.2714
C 1.2192 3.4042 3.8143
C 1.2192 3.9111 8.8999
C 1.4727 1.2192 6.3571
C 3.4042 3.6576 6.3571
C 3.6576 0.9658 8.8999
C 3.6576 1.4727 3.8143
C 3.9111 3.6576 1.2714
Cl 0.0000 0.0000 5.0857
Cl 0.0000 2.4384 7.6285
Cl 2.4384 0.0000 2.5428
Cl 2.4384 2.4384 0.0000
```

---

(10)
## Sm5CdSi2 (GGA-PBE)

Data for a relaxed structure of Sm5CdSi2.

Results
- E_tot: -78.44 eV per cell
- ΔE_f (raw): -0.48 eV/atom
- Calculated volume: 220.4 Å³/f.u.
- N(E_F): 8.001 states/eV/f.u.

Geometry as extended XYZ:
```
16
Lattice="-3.8552 3.8552 7.4155 3.8552 -3.8552 7.4155 3.8552 3.8552 -7.4155" Properties=species:S:1:pos:R:3 pbc="T T T"
Sm 0.0000 0.0000 0.0000
Sm 5.2013 1.3461 -2.0477
Sm 1.3461 2.5091 -2.0477
Sm 5.2013 1.3461 2.0477
Sm 1.3461 2.5091 2.0477
Sm 0.0000 0.0000 7.4155
Sm 2.5091 1.3461 5.3678
Sm -1.3461 2.5091 5.3678
Sm 2.5091 1.3461 9.4632
Sm -1.3461 2.5091 9.4632
Cd 0.0000 0.0000 3.7077
Cd 0.0000 0.0000 11.1232
Si 2.9435 0.9117 0.0000
Si 2.9435 -0.9117 7.4155
Si 0.9117 4.7669 0.0000
Si 0.9117 2.9435 7.4155
```

---

(11)
## BaCoNi2 (GGA-PBE)

Data for a relaxed structure of BaCoNi2.

Results
- E_tot: -36.42 eV per cell
- Calculated volume: 84.8 Å³/f.u.
- ΔE_f: 595 meV/atom
- N(E_F): 6.867 states/eV/f.u.

Geometry as extended XYZ:
```
8
Lattice="3.9943 0.0000 0.0000 0.0000 5.7557 0.0000 0.0000 0.0000 7.3811" Properties=species:S:1:pos:R:3 pbc="T T T"
Ba 0.0000 0.0000 0.0000
Ba 1.9972 2.8778 3.6905
Co 0.0000 0.0000 3.6905
Co 1.9972 2.8778 0.0000
Ni 0.0000 2.8778 1.2035
Ni 0.0000 2.8778 6.1776
Ni 1.9972 0.0000 2.4870
Ni 1.9972 0.0000 4.8940
```

---

(12)
## LaReSe2Br (GGA-PBE)

Data for a relaxed structure of LaReSe2Br.

Results
- E_tot: -23.63 eV per cell
- ΔE_f (raw): 0.48 eV/atom
- Calculated volume: 191.8 Å³/f.u.
- Excess energy over the best structure of this formula in the dataset: 796 meV/atom
- N(E_F): 4.663 states/eV/f.u.

Geometry as extended XYZ:
```
5
Lattice="5.7724 0.0000 0.0000 0.0000 5.7724 0.0000 0.0000 0.0000 5.7547" Properties=species:S:1:pos:R:3 pbc="T T T"
La 0.0000 0.0000 0.0000
Re 2.8862 2.8862 2.8774
Se 0.0000 2.8862 0.0000
Se 2.8862 0.0000 0.0000
Br 0.0000 0.0000 2.8774
```